A relaxed Sr2HBrF crystal, computed with PBE.

Calculated total energy = -2.77 eV/atom
DOS at the Fermi energy = 0.499 states/eV per atom
Space-group type = P4/mmm

The structure in POSCAR format:
```
Sr2HBrF
1.0
-1.599 4.486 -3.235
-3.141 1.718 3.934
4.363 3.093 2.133
Sr H Br F
2 1 1 1
Direct
0.000 0.000 0.500
0.500 0.000 0.000
0.500 0.500 0.500
0.000 0.000 0.000
0.000 0.500 0.000
```